# 1
VASP calculation (PBE) on a relaxed structure of PmTm2UP4.

Cell and atoms, written as extended XYZ:
```
8
Lattice="6.8878 0.0000 0.0000 0.0000 3.9773 0.0000 -2.2809 0.0000 6.5288" Properties=species:S:1:pos:R:3 pbc="T T T"
Pm 0.0000 0.0000 0.0000
Tm 2.3034 0.0000 3.2644
Tm 3.4439 1.9886 0.0000
U -1.1405 1.9886 3.2644
P 0.0380 0.0000 4.8570
P 1.1583 1.9886 1.7050
P 3.4486 1.9886 4.8238
P 4.5689 0.0000 1.6718
```

Values from the calculation:
space-group type	No. 10
ΔE_f	-1.423	eV/atom


# 2
VASP calculation (PBE) on a relaxed structure of Pm6BiTe2As3.

Cell and atoms, written as extended XYZ:
```
12
Lattice="9.5864 -2.1687 0.0000 9.5864 2.1687 0.0000 -2.2308 0.0000 8.5358" Properties=species:S:1:pos:R:3 pbc="T T T"
Pm -0.4235 0.0000 2.0260
Pm 5.3247 0.0000 3.6883
Pm 4.5093 0.0000 7.6859
Pm 12.4327 0.0000 0.8498
Pm 11.6173 0.0000 4.8475
Pm 17.3655 0.0000 6.5098
Bi 8.4710 0.0000 4.2679
Te 1.3500 0.0000 7.1304
Te 15.5919 0.0000 1.4054
As 2.4609 0.0000 2.8426
As 9.5864 0.0000 0.0000
As 14.4811 0.0000 5.6932
```

Values from the calculation:
space-group type	No. 12
raw formation energy	-1439	meV per atom


# 3
VASP calculation (PBE) on a relaxed structure of ZrIr2Cl.

Cell and atoms, written as extended XYZ:
```
4
Lattice="2.9131 0.0000 0.0000 0.0000 5.0404 0.0000 -0.0901 0.0000 4.5887" Properties=species:S:1:pos:R:3 pbc="T T T"
Zr 0.0000 0.0000 0.0000
Ir 0.6498 2.5202 3.4308
Ir 2.1732 2.5202 1.1579
Cl 1.4115 0.0000 2.2944
```

Values from the calculation:
space-group type	No. 10
relative energy among the computed polymorphs	4.85	kcal/mol of atoms
raw formation energy	-100	meV per atom


# 4
VASP calculation (PBE) on a relaxed structure of Ba5Ni.

Cell and atoms, written as extended XYZ:
```
6
Lattice="9.2622 0.0000 0.0000 -4.6311 8.0213 0.0000 0.0000 0.0000 4.4613" Properties=species:S:1:pos:R:3 pbc="T T T"
Ba -3.5210 6.0986 0.0000
Ba 1.1101 1.9227 0.0000
Ba 0.0000 5.3475 2.2307
Ba 4.6311 2.6738 2.2307
Ba 7.0420 0.0000 0.0000
Ni 0.0000 0.0000 2.2307
```

Values from the calculation:
space-group type	No. 189
ΔE_f	0.262	eV/atom
relative energy among the computed polymorphs	4.41	kcal/mol of atoms


# 5
VASP calculation (PBE) on a relaxed structure of RbNpAuI6.

Cell and atoms, written as extended XYZ:
```
18
Lattice="7.7514 0.0000 0.0000 -3.8757 6.7129 0.0000 0.0000 0.0000 16.7528" Properties=species:S:1:pos:R:3 pbc="T T T"
Rb 0.0000 0.0000 0.0000
Rb 0.0000 0.0000 8.3764
Np 0.0000 4.4753 4.1882
Np 3.8757 2.2376 12.5646
Au 0.0000 4.4753 12.5646
Au 3.8757 2.2376 4.1882
I -1.4004 2.4430 2.4321
I -2.4602 4.2786 5.9443
I 1.4004 2.4430 5.9443
I -1.0598 6.7042 2.4321
I 2.8159 0.0087 10.8085
I 1.4155 2.4343 14.3207
I 2.4602 4.2786 2.4321
I 1.0598 6.7042 5.9443
I 4.9355 0.0087 14.3207
I 2.4753 4.2699 10.8085
I 6.3359 2.4343 10.8085
I 5.2761 4.2699 14.3207
```

Values from the calculation:
space-group type	No. 163
raw formation energy	-706	meV per atom


# 6
VASP calculation (PBE) on a relaxed structure of MgBeHg2.

Cell and atoms, written as extended XYZ:
```
4
Lattice="4.5984 -1.7751 0.0000 4.5984 1.7751 0.0000 -0.8777 0.0000 4.6764" Properties=species:S:1:pos:R:3 pbc="T T T"
Mg 0.0000 0.0000 0.0000
Be 1.6871 0.0000 3.3009
Hg 4.1752 0.0000 2.5296
Hg 6.6625 0.0000 0.9570
```

Values from the calculation:
space-group type	No. 8
ΔE_f	0.227	eV/atom
relative energy among the computed polymorphs	1.59	kcal/mol of atoms


| no. | E (eV/atom) | Fermi-level density of states (states/eV per cell) | spin magnetization (μB per cell) |
| --- | --- | --- | --- |
| 1 | -7.251 | 7.04 | 2.11 |
| 2 | -5.824 | 4.45 | 0.00 |
| 3 | -7.129 | 3.51 | 0.00 |
| 4 | -2.304 | 9.82 | 0.00 |
| 5 | -3.649 | 15.13 | 5.87 |
| 6 | -1.254 | 1.00 | 0.00 |